[1]
Computed, not measured: a relaxed V3Rh4Au crystal at the PBE level of DFT.

```
data_V3Rh4Au
_chemical_formula_sum 'V6 Rh8 Au2'
_symmetry_space_group_name_H-M 'P 1'
_symmetry_Int_Tables_number 1
_cell_length_a 4.6570
_cell_length_b 5.5730
_cell_length_c 8.7811
_cell_angle_alpha 90.00
_cell_angle_beta 90.00
_cell_angle_gamma 90.00
loop_
_symmetry_equiv_pos_as_xyz
'x,y,z'
loop_
_atom_site_label
_atom_site_type_symbol
_atom_site_fract_x
_atom_site_fract_y
_atom_site_fract_z
V1 V 0.6488 0.5000 0.7500
V2 V 0.0000 0.0000 0.0000
V3 V 0.3512 0.5000 0.2500
V4 V 0.0000 0.0000 0.5000
V5 V 0.3487 0.0000 0.2500
V6 V 0.6513 0.0000 0.7500
Rh1 Rh 0.5000 0.2401 0.0000
Rh2 Rh 0.5000 0.7599 0.5000
Rh3 Rh 0.5000 0.7599 0.0000
Rh4 Rh 0.8517 0.2469 0.2500
Rh5 Rh 0.1483 0.7531 0.7500
Rh6 Rh 0.8517 0.7531 0.2500
Rh7 Rh 0.5000 0.2401 0.5000
Rh8 Rh 0.1483 0.2469 0.7500
Au1 Au 0.0000 0.5000 0.0000
Au2 Au 0.0000 0.5000 0.5000
```

Values from the calculation:
N(E_F): 8.5 states/eV/f.u.

***

[2]
Computed, not measured: a relaxed VRh3Au crystal at the PBE level of DFT.

```
data_VRh3Au
_chemical_formula_sum 'V1 Rh3 Au1'
_symmetry_space_group_name_H-M 'P 1'
_symmetry_Int_Tables_number 1
_cell_length_a 4.8282
_cell_length_b 4.8282
_cell_length_c 4.8282
_cell_angle_alpha 90.00
_cell_angle_beta 90.00
_cell_angle_gamma 90.00
loop_
_symmetry_equiv_pos_as_xyz
'x,y,z'
loop_
_atom_site_label
_atom_site_type_symbol
_atom_site_fract_x
_atom_site_fract_y
_atom_site_fract_z
Rh1 Rh 0.0000 0.0000 0.5000
Rh2 Rh 0.0000 0.5000 0.0000
Rh3 Rh 0.5000 0.0000 0.0000
Au1 Au 0.0000 0.0000 0.0000
V1 V 0.5000 0.5000 0.5000
```

Values from the calculation:
Relative energy among the computed polymorphs: 1087 meV per atom
N(E_F): 13.2 states/eV/f.u.

***

So what do the calculations give for energy? Going down the list: -7.762 -5.128 eV/atom.
So what do the calculations give for density? Going down the list: 11.10 8.21 g/cm3.
So what do the calculations give for energy relative to the elements? Going down the list: -257.2 1762.0 meV per atom.